Material: Pd2BrN
Method: DFT, GGA-PBE
State: optimized geometry

a = 4.3495 Å, b = 4.3495 Å, c = 4.3495 Å
α = 60.00°, β = 60.00°, γ = 60.00°
Last column: nearest neighbours and their distance in Å.
Element x y z (fractional)
Pd (0.7500, 0.7500, 0.7500)  4 Br 2.66, 4 N 2.66
N (0.0000, 0.0000, 0.0000)  8 Pd 2.66
Br (0.5000, 0.5000, 0.5000)  8 Pd 2.66
Pd (0.2500, 0.2500, 0.2500)  4 Br 2.66, 4 N 2.66

Relative energy among the computed polymorphs = 741 meV per atom
SG = Fm-3m, No. 225
Magnetic moment = 0.0000 μB per atom
Raw formation energy = 1.15 eV per atom